DFT (PBE+U) results for crystalline SrTm4Mn3O12 at its relaxed geometry.

```
SrTm4Mn3O12
1.0
-4.051 4.051 4.051
4.051 -4.051 4.051
4.051 4.051 -4.051
Sr Tm Mn O
1 4 3 12
Direct
0.000 0.000 0.000 Sr
0.000 0.000 0.500 Tm
0.000 0.500 0.000 Tm
0.500 0.000 0.000 Tm
0.500 0.500 0.500 Tm
0.000 0.500 0.500 Mn
0.500 0.000 0.500 Mn
0.500 0.500 0.000 Mn
0.160 0.321 0.481 O
0.160 0.679 0.838 O
0.162 0.840 0.321 O
0.321 0.162 0.840 O
0.321 0.481 0.160 O
0.481 0.160 0.321 O
0.519 0.840 0.679 O
0.679 0.519 0.840 O
0.679 0.838 0.160 O
0.838 0.160 0.679 O
0.840 0.321 0.162 O
0.840 0.679 0.519 O
```

Output
The calculated volume is 266 Å³/cell. The uncorrected energy comes out at -7.707 eV/atom. The calculation puts the density of states at the Fermi level at 0.64 states/eV/atom. The space group is No. 204. The calculation puts the magnetic moment at 13.14 μB/f.u.